## MnInIO6 (PBE with a Hubbard U)

Data for crystalline MnInIO6 at its relaxed geometry. Values from VASP.

density = 5.6 Mg/m³
energy = -0.2044 Ha/atom
symmetry = No. 163
V = 12.8 A^3/atom
magnetic moment = 0.556 μB/atom

```
&SYSTEM
  ibrav = 0, nat = 18, ntyp = 4
/
ATOMIC_SPECIES
Mn 54.94 Mn.upf
In 114.82 In.upf
I 126.90 I.upf
O 16.00 O.upf
CELL_PARAMETERS angstrom
5.376 0.000 0.000
-2.688 4.656 0.000
0.000 0.000 9.233
ATOMIC_POSITIONS crystal
Mn 0.000 0.000 0.000
Mn 0.000 0.000 0.500
In 0.333 0.667 0.250
In 0.667 0.333 0.750
I 0.333 0.667 0.750
I 0.667 0.333 0.250
O 0.038 0.373 0.633
O 0.038 0.665 0.867
O 0.335 0.373 0.867
O 0.335 0.962 0.633
O 0.373 0.038 0.133
O 0.373 0.335 0.367
O 0.627 0.665 0.633
O 0.627 0.962 0.867
O 0.665 0.038 0.367
O 0.665 0.627 0.133
O 0.962 0.335 0.133
O 0.962 0.627 0.367
```